Compound: TbTm2GaC
Source: Alexandria via LeMat-Bulk
Functional: PBE
Structure: relaxed

Output
**Space-group type**: P4/mmm (123)
**ρ**: 8.61 g/cm³
**Calculated formation energy**: -0.481 eV per atom

Unit cell a=4.8899 b=4.7772 c=4.7772 alpha=90.00 beta=90.00 gamma=90.00
Closest atoms and distances in Å follow each position.
Positions (direct):
Tm1 0.0000 0.5000 0.0000  2 C 2.39
Tm2 0.0000 0.0000 0.5000  2 C 2.39
Tb1 0.5000 0.0000 0.0000  2 C 2.44
C1 0.0000 0.0000 0.0000  4 Tm 2.39, 2 Tb 2.44
Ga1 0.5000 0.5000 0.5000  4 Tb 3.38, 8 Tm 3.42